# CdRh2W2 PBE-GGA optimized geometry
data_CdRh2W2
_chemical_formula_sum 'Cd2 Rh4 W4'
_cell_length_a 7.7960
_cell_length_b 7.7960
_cell_length_c 2.7747
_cell_angle_alpha 90.00
_cell_angle_beta 90.00
_cell_angle_gamma 90.00
_symmetry_space_group_name_H-M 'P 1'
_symmetry_Int_Tables_number 1
loop_
_symmetry_equiv_pos_as_xyz
'x,y,z'
loop_
_atom_site_label
_atom_site_fract_x
_atom_site_fract_y
_atom_site_fract_z
_atom_site_occupancy
W1 0.6176 0.1176 0.0000 1
Rh1 0.6715 0.8285 0.5000 1
W2 0.8824 0.6176 0.0000 1
Cd1 0.5000 0.5000 0.0000 1
W3 0.3824 0.8824 0.0000 1
Rh2 0.8285 0.3285 0.5000 1
Rh3 0.3285 0.1715 0.5000 1
Cd2 0.0000 0.0000 0.0000 1
W4 0.1176 0.3824 0.0000 1
Rh4 0.1715 0.6715 0.5000 1
# Space group   P4/mbm, No. 127
# DOS(E_F)   2.230 states/eV/f.u.
# Energy of formation   0.610 eV/f.u.


# Tm5CoPb PBE-GGA optimized geometry
data_Tm5CoPb
_chemical_formula_sum 'Tm10 Co2 Pb2'
_cell_length_a 6.4294
_cell_length_b 6.4294
_cell_length_c 11.1009
_cell_angle_alpha 72.84
_cell_angle_beta 72.84
_cell_angle_gamma 62.71
_symmetry_space_group_name_H-M 'P 1'
_symmetry_Int_Tables_number 1
loop_
_symmetry_equiv_pos_as_xyz
'x,y,z'
loop_
_atom_site_label
_atom_site_fract_x
_atom_site_fract_y
_atom_site_fract_z
_atom_site_occupancy
Co1 0.0000 0.0000 0.5000 1
Tm1 0.9759 0.0241 0.2500 1
Pb1 0.4721 0.5279 0.2500 1
Co2 0.0000 0.0000 0.0000 1
Tm2 0.1986 0.5595 0.5435 1
Tm3 0.9759 0.6012 0.1359 1
Tm4 0.0241 0.3988 0.8641 1
Tm5 0.6012 0.9759 0.6359 1
Tm6 0.5595 0.1986 0.0435 1
Tm7 0.8014 0.4405 0.4565 1
Tm8 0.3988 0.0241 0.3641 1
Pb2 0.5279 0.4721 0.7500 1
Tm9 0.4405 0.8014 0.9565 1
Tm10 0.0241 0.9759 0.7500 1
# Space group   C2/c, No. 15
# DOS(E_F)   6.082 states/eV/f.u.
# Energy of formation   -0.783 eV/f.u.


# Nd8SmDy5 PBE-GGA optimized geometry
data_Nd8SmDy5
_chemical_formula_sum 'Nd8 Sm1 Dy5'
_cell_length_a 8.5837
_cell_length_b 8.6052
_cell_length_c 8.5837
_cell_angle_alpha 111.28
_cell_angle_beta 105.64
_cell_angle_gamma 111.45
_symmetry_space_group_name_H-M 'P 1'
_symmetry_Int_Tables_number 1
loop_
_symmetry_equiv_pos_as_xyz
'x,y,z'
loop_
_atom_site_label
_atom_site_fract_x
_atom_site_fract_y
_atom_site_fract_z
_atom_site_occupancy
Nd1 0.5678 0.9093 0.8357 1
Nd2 0.7278 0.2572 0.3320 1
Dy1 0.0357 0.3137 0.1314 1
Dy2 0.5002 0.0000 0.5002 1
Dy3 0.8682 0.9038 0.1811 1
Dy4 0.8177 0.6863 0.7219 1
Sm1 0.2502 0.5000 0.7502 1
Dy5 0.2773 0.0962 0.9644 1
Nd3 0.9264 0.0907 0.6585 1
Nd4 0.3401 0.2659 0.4322 1
Nd5 0.0748 0.7428 0.4706 1
Nd6 0.1663 0.7341 0.0742 1
Nd7 0.5291 0.6045 0.2729 1
Nd8 0.6684 0.3955 0.9246 1
# Space group   C2, No. 5
# DOS(E_F)   20.709 states/eV/f.u.
# Energy of formation   3.379 eV/f.u.


# ZnCrGePd PBE-GGA optimized geometry
data_ZnCrGePd
_chemical_formula_sum 'Zn1 Cr1 Ge1 Pd1'
_cell_length_a 4.3873
_cell_length_b 4.3873
_cell_length_c 4.3873
_cell_angle_alpha 60.00
_cell_angle_beta 60.00
_cell_angle_gamma 60.00
_symmetry_space_group_name_H-M 'P 1'
_symmetry_Int_Tables_number 1
loop_
_symmetry_equiv_pos_as_xyz
'x,y,z'
loop_
_atom_site_label
_atom_site_fract_x
_atom_site_fract_y
_atom_site_fract_z
_atom_site_occupancy
Pd1 0.0000 0.0000 0.0000 1
Cr1 0.5000 0.5000 0.5000 1
Zn1 0.7500 0.7500 0.7500 1
Ge1 0.2500 0.2500 0.2500 1
# Space group   F-43m, No. 216
# DOS(E_F)   2.052 states/eV/f.u.
# Energy of formation   -0.443 eV/f.u.